First-principles (PBE+U) data for a geometry-optimized LaSmCr2O6 structure, as listed in Alexandria.

Properties
- space group = Pmc2_1, No. 26
- total magnetization (Bohr magnetons per cell) = 12.0
- final energy (eV/atom) = -8.21

abc: 7.828 5.487 5.623
angles: 90.00 90.00 90.00
Element x y z (fractional)
La: 0.000 0.240 0.000
La: 0.000 0.760 0.500
Sm: 0.500 0.264 0.099
Sm: 0.500 0.736 0.599
Cr: 0.254 0.248 0.544
Cr: 0.254 0.752 0.044
Cr: 0.746 0.248 0.544
Cr: 0.746 0.752 0.044
O: 0.000 0.331 0.564
O: 0.000 0.669 0.064
O: 0.209 0.047 0.248
O: 0.209 0.953 0.748
O: 0.304 0.457 0.836
O: 0.304 0.543 0.336
O: 0.500 0.152 0.513
O: 0.500 0.848 0.013
O: 0.696 0.457 0.836
O: 0.696 0.543 0.336
O: 0.791 0.047 0.248
O: 0.791 0.953 0.748